## SmAl2Zn4 (PBE)

Data for an optimized crystal structure of SmAl2Zn4. Values from VASP.

```
&SYSTEM
  ibrav = 0, nat = 7, ntyp = 3
/
ATOMIC_SPECIES
Sm 150.36 Sm.upf
Al 26.98 Al.upf
Zn 65.41 Zn.upf
CELL_PARAMETERS angstrom
2.0901 -7.2573 0.0000
2.0901 7.2573 0.0000
0.0000 0.0000 4.1519
ATOMIC_POSITIONS angstrom
Sm 0.0000 0.0000 0.0000
Al 2.0901 1.2609 2.0759
Al 2.0901 -1.2609 2.0759
Zn 2.0901 4.5230 2.0759
Zn 2.0901 2.7675 0.0000
Zn 2.0901 -2.7675 0.0000
Zn 2.0901 -4.5230 2.0759
```

Computed properties:
**Calculated formation energy**: -0.238 eV/atom

---

## Sm8AlZn2 (PBE)

Data for an optimized crystal structure of Sm8AlZn2. Values from VASP.

```
&SYSTEM
  ibrav = 0, nat = 11, ntyp = 3
/
ATOMIC_SPECIES
Sm 150.36 Sm.upf
Al 26.98 Al.upf
Zn 65.41 Zn.upf
CELL_PARAMETERS angstrom
-2.5155 4.2149 7.3963
2.5155 -4.2149 7.3963
2.5155 4.2149 -7.3963
ATOMIC_POSITIONS angstrom
Sm 2.5155 2.3321 -2.3964
Sm 0.0000 0.0000 2.0180
Sm 0.0000 2.6553 0.0000
Sm 2.5155 2.3321 2.3964
Sm 0.0000 1.8829 4.9999
Sm 0.0000 5.7746 0.0000
Sm 0.0000 0.0000 12.7747
Sm 0.0000 1.8829 9.7928
Al 2.5155 0.0000 0.0000
Zn 2.5155 0.0000 4.5380
Zn 0.0000 4.2149 2.8584
```

Computed properties:
**Calculated formation energy**: -0.098 eV/atom
**Excess energy over the best structure of this formula in the dataset**: 4.1 kJ per mole of atoms

---

## Sm3Al4Zn4 (PBE)

Data for an optimized crystal structure of Sm3Al4Zn4. Values from VASP.

```
&SYSTEM
  ibrav = 0, nat = 11, ntyp = 3
/
ATOMIC_SPECIES
Sm 150.36 Sm.upf
Al 26.98 Al.upf
Zn 65.41 Zn.upf
CELL_PARAMETERS angstrom
-3.8823 3.8823 3.8823
3.8823 -3.8823 3.8823
3.8823 3.8823 -3.8823
ATOMIC_POSITIONS angstrom
Sm 3.8823 0.0000 0.0000
Sm 0.0000 3.8823 0.0000
Sm 0.0000 0.0000 3.8823
Al 2.8731 2.8731 -2.8731
Al 2.8731 -2.8731 2.8731
Al 1.0092 1.0092 1.0092
Al -2.8731 2.8731 2.8731
Zn 1.4791 1.4791 -1.4791
Zn 1.4791 -1.4791 1.4791
Zn -1.4791 1.4791 1.4791
Zn 2.4031 2.4031 2.4031
```

Computed properties:
**Calculated formation energy**: -0.252 eV/atom

---

## Sm2AlZn7 (PBE)

Data for an optimized crystal structure of Sm2AlZn7. Values from VASP.

```
&SYSTEM
  ibrav = 0, nat = 10, ntyp = 3
/
ATOMIC_SPECIES
Sm 150.36 Sm.upf
Al 26.98 Al.upf
Zn 65.41 Zn.upf
CELL_PARAMETERS angstrom
4.1880 0.0000 0.0000
0.0000 4.1880 0.0000
0.0000 0.0000 10.7460
ATOMIC_POSITIONS angstrom
Sm 0.0000 2.0940 2.6781
Sm 2.0940 0.0000 8.0679
Al 0.0000 0.0000 5.3730
Zn 0.0000 0.0000 0.0000
Zn 0.0000 2.0940 6.8518
Zn 0.0000 2.0940 9.2998
Zn 2.0940 0.0000 1.4462
Zn 2.0940 0.0000 3.8942
Zn 2.0940 2.0940 0.0000
Zn 2.0940 2.0940 5.3730
```

Computed properties:
**Calculated formation energy**: -0.340 eV/atom

---

## Sm2Al5Zn (PBE)

Data for an optimized crystal structure of Sm2Al5Zn. Values from VASP.

```
&SYSTEM
  ibrav = 0, nat = 8, ntyp = 3
/
ATOMIC_SPECIES
Sm 150.36 Sm.upf
Al 26.98 Al.upf
Zn 65.41 Zn.upf
CELL_PARAMETERS angstrom
-3.0547 3.0547 4.3223
3.0547 -3.0547 4.3223
3.0547 3.0547 -4.3223
ATOMIC_POSITIONS angstrom
Sm 3.0547 0.0000 0.0000
Sm 0.0000 3.0547 0.0000
Al 1.5244 1.5244 6.4834
Al -1.5244 1.5244 6.4834
Al 0.0000 0.0000 0.0079
Al 1.5244 -1.5244 6.4834
Al 1.5303 1.5303 2.1611
Zn 0.0000 0.0000 4.3001
```

Computed properties:
**Calculated formation energy**: -0.378 eV/atom

---

## Sm2Al5Zn2 (PBE)

Data for an optimized crystal structure of Sm2Al5Zn2. Values from VASP.

```
&SYSTEM
  ibrav = 0, nat = 9, ntyp = 3
/
ATOMIC_SPECIES
Sm 150.36 Sm.upf
Al 26.98 Al.upf
Zn 65.41 Zn.upf
CELL_PARAMETERS angstrom
4.2025 0.0000 0.0000
0.0000 4.2025 0.0000
0.0000 0.0000 10.0840
ATOMIC_POSITIONS angstrom
Sm 0.0000 0.0000 0.0000
Sm 0.0000 0.0000 5.0420
Al 0.0000 2.1012 2.2889
Al 0.0000 2.1012 7.7952
Al 2.1012 0.0000 2.2889
Al 2.1012 0.0000 7.7952
Al 2.1012 2.1012 0.0000
Zn 2.1012 2.1012 3.8535
Zn 2.1012 2.1012 6.2305
```

Computed properties:
**Calculated formation energy**: -0.357 eV/atom

---

## Sm3Al2Zn7 (PBE)

Data for an optimized crystal structure of Sm3Al2Zn7. Values from VASP.

```
&SYSTEM
  ibrav = 0, nat = 12, ntyp = 3
/
ATOMIC_SPECIES
Sm 150.36 Sm.upf
Al 26.98 Al.upf
Zn 65.41 Zn.upf
CELL_PARAMETERS angstrom
-2.1239 2.1239 13.9010
2.1239 -2.1239 13.9010
2.1239 2.1239 -13.9010
ATOMIC_POSITIONS angstrom
Sm 0.0000 0.0000 0.0000
Sm 0.0000 0.0000 4.6433
Sm 0.0000 0.0000 23.1587
Al 0.0000 0.0000 10.2272
Al 0.0000 0.0000 17.5748
Zn 2.1239 0.0000 2.1841
Zn 0.0000 0.0000 7.6808
Zn 2.1239 0.0000 11.7169
Zn 0.0000 0.0000 13.9010
Zn 0.0000 2.1239 2.1841
Zn 0.0000 0.0000 20.1212
Zn 0.0000 2.1239 11.7169
```

Computed properties:
**Calculated formation energy**: -0.191 eV/atom

---

## SmAl2Zn2 (PBE)

Data for an optimized crystal structure of SmAl2Zn2. Values from VASP.

```
&SYSTEM
  ibrav = 0, nat = 5, ntyp = 3
/
ATOMIC_SPECIES
Sm 150.36 Sm.upf
Al 26.98 Al.upf
Zn 65.41 Zn.upf
CELL_PARAMETERS angstrom
4.2357 0.0000 0.0000
-2.1178 3.6682 0.0000
0.0000 0.0000 6.9542
ATOMIC_POSITIONS angstrom
Sm 0.0000 0.0000 0.0000
Al 0.0000 2.4455 4.4099
Al 2.1178 1.2227 2.5443
Zn 0.0000 2.4455 1.8218
Zn 2.1178 1.2227 5.1324
```

Computed properties:
**Calculated formation energy**: -0.116 eV/atom

---

## Sm4Al3Zn (PBE)

Data for an optimized crystal structure of Sm4Al3Zn. Values from VASP.

```
&SYSTEM
  ibrav = 0, nat = 8, ntyp = 3
/
ATOMIC_SPECIES
Sm 150.36 Sm.upf
Al 26.98 Al.upf
Zn 65.41 Zn.upf
CELL_PARAMETERS angstrom
3.6516 0.0000 0.0000
0.0000 3.6516 0.0000
0.0000 0.0000 14.8714
ATOMIC_POSITIONS angstrom
Sm 0.0000 0.0000 1.8066
Sm 0.0000 0.0000 5.5655
Sm 0.0000 0.0000 9.3059
Sm 0.0000 0.0000 13.0648
Al 1.8258 1.8258 3.6704
Al 1.8258 1.8258 7.4357
Al 1.8258 1.8258 11.2010
Zn 1.8258 1.8258 0.0000
```

Computed properties:
**Calculated formation energy**: -0.360 eV/atom
**Excess energy over the best structure of this formula in the dataset**: 0.0 kJ per mole of atoms

---

## Sm6Al5Zn (PBE)

Data for an optimized crystal structure of Sm6Al5Zn. Values from VASP.

```
&SYSTEM
  ibrav = 0, nat = 12, ntyp = 3
/
ATOMIC_SPECIES
Sm 150.36 Sm.upf
Al 26.98 Al.upf
Zn 65.41 Zn.upf
CELL_PARAMETERS angstrom
5.2088 0.0000 0.0000
0.0000 7.3332 0.0000
-2.5712 0.0000 7.8086
ATOMIC_POSITIONS angstrom
Sm 0.0000 1.8080 0.0000
Sm 0.0000 5.5252 0.0000
Sm 0.0232 1.8205 5.2269
Sm 0.0232 5.5128 5.2269
Sm 2.6144 1.8205 2.5817
Sm 2.6144 5.5128 2.5817
Al 0.0101 0.0000 2.5981
Al 0.0099 3.6666 2.6116
Al 2.6044 3.6666 0.0000
Al 2.6277 3.6666 5.1970
Al 2.6274 0.0000 5.2105
Zn 2.6044 0.0000 0.0000
```

Computed properties:
**Calculated formation energy**: -0.370 eV/atom

---

## SmAl2Zn9 (PBE)

Data for an optimized crystal structure of SmAl2Zn9. Values from VASP.

```
&SYSTEM
  ibrav = 0, nat = 12, ntyp = 3
/
ATOMIC_SPECIES
Sm 150.36 Sm.upf
Al 26.98 Al.upf
Zn 65.41 Zn.upf
CELL_PARAMETERS angstrom
8.5973 0.0000 0.0000
-4.2987 7.4455 0.0000
0.0000 0.0000 3.3052
ATOMIC_POSITIONS angstrom
Sm 0.0000 0.0000 0.0000
Al 0.0000 4.9637 0.0000
Al 4.2987 2.4818 0.0000
Zn -2.1493 3.7228 0.0000
Zn 0.0000 2.7235 1.6526
Zn -1.9400 6.0838 1.6526
Zn 2.3586 1.3618 1.6526
Zn 4.2987 0.0000 0.0000
Zn 2.1493 3.7228 0.0000
Zn 1.9400 6.0838 1.6526
Zn 6.2387 1.3618 1.6526
Zn 4.2987 4.7220 1.6526
```

Computed properties:
**Calculated formation energy**: -0.019 eV/atom
**Excess energy over the best structure of this formula in the dataset**: 13.4 kJ per mole of atoms

---

## Sm2AlZn3 (PBE)

Data for an optimized crystal structure of Sm2AlZn3. Values from VASP.

```
&SYSTEM
  ibrav = 0, nat = 6, ntyp = 3
/
ATOMIC_SPECIES
Sm 150.36 Sm.upf
Al 26.98 Al.upf
Zn 65.41 Zn.upf
CELL_PARAMETERS angstrom
-1.9641 2.1894 7.7909
1.9641 -2.1894 7.7909
1.9641 2.1894 -7.7909
ATOMIC_POSITIONS angstrom
Sm 0.0000 0.0000 0.0000
Sm 0.0000 2.1894 3.9296
Al 0.0000 0.0000 9.1316
Zn 1.9641 0.0000 2.5896
Zn 1.9641 0.0000 5.1121
Zn 0.0000 0.0000 6.5745
```

Computed properties:
**Calculated formation energy**: -0.343 eV/atom
**Excess energy over the best structure of this formula in the dataset**: 5.0 kJ per mole of atoms